No. 1
RbAlF2: optimized geometry, PBE.

Output
Density: 3.06 g cm⁻³
Uncorrected formation energy: -2142 meV per atom
Energy relative to the lowest polymorph listed for this composition: 0 meV per atom

Lattice parameters (Å, degrees): 7.472 7.472 7.472 28.06 28.06 28.06
Positions (direct):
1 Rb 0.000 0.000 0.000
2 Al 0.500 0.500 0.500
3 F 0.414 0.414 0.414
4 F 0.586 0.586 0.586

***

No. 2
RbCa2SeO: optimized geometry, PBE.

Output
Density: 2.93 g cm⁻³
Uncorrected formation energy: -1158 meV per atom

Lattice parameters (Å, degrees): 4.678 4.678 6.738 90.00 90.00 90.00
Positions (direct):
1 Rb 0.000 0.000 0.000
2 Ca 0.000 0.500 0.500
3 Ca 0.500 0.000 0.500
4 Se 0.500 0.500 0.000
5 O 0.500 0.500 0.500

***

No. 3
Cd5Ga2Hg4: optimized geometry, PBE.

Output
Density: 9.31 g cm⁻³
DFT formation energy: 0.048 eV/atom

Lattice parameters (Å, degrees): 7.109 7.109 12.814 93.53 93.53 24.51
Positions (direct):
1 Cd 0.000 0.000 0.000
2 Cd 0.322 0.322 0.074
3 Cd 0.343 0.343 0.533
4 Cd 0.657 0.657 0.467
5 Cd 0.678 0.678 0.926
6 Ga 0.023 0.023 0.619
7 Ga 0.977 0.977 0.381
8 Hg 0.216 0.216 0.722
9 Hg 0.438 0.438 0.793
10 Hg 0.562 0.562 0.207
11 Hg 0.784 0.784 0.278

***

No. 4
Ag2BPd2: optimized geometry, PBE.

Output
Density: 9.45 g cm⁻³
DFT formation energy: -0.009 eV/atom
Energy relative to the lowest polymorph listed for this composition: 0 meV per atom

Lattice parameters (Å, degrees): 5.637 5.637 4.859 90.00 90.00 90.00
Positions (direct):
1 Ag 0.171 0.329 0.000
2 Ag 0.329 0.829 0.000
3 Ag 0.671 0.171 0.000
4 Ag 0.829 0.671 0.000
5 B 0.000 0.000 0.500
6 B 0.500 0.500 0.500
7 Pd 0.167 0.667 0.500
8 Pd 0.333 0.167 0.500
9 Pd 0.667 0.833 0.500
10 Pd 0.833 0.333 0.500

***

No. 5
HfPaTe2: optimized geometry, PBE.

Output
Density: 11.47 g cm⁻³
Uncorrected formation energy: -603 meV per atom
Energy relative to the lowest polymorph listed for this composition: 11 meV per atom

Lattice parameters (Å, degrees): 5.116 5.116 3.676 90.00 90.00 90.00
Positions (direct):
1 Hf 0.000 0.000 0.000
2 Pa 0.500 0.500 0.000
3 Te 0.000 0.500 0.500
4 Te 0.500 0.000 0.500

***

No. 6
NiBi6Pt3: optimized geometry, PBE.

Output
Density: 12.74 g cm⁻³
DFT formation energy: -0.133 eV/atom

Lattice parameters (Å, degrees): 7.319 6.818 12.130 90.00 125.17 90.00
Positions (direct):
1 Ni 0.000 0.000 0.000
2 Ni 0.000 0.500 0.500
3 Bi 0.100 0.169 0.430
4 Bi 0.100 0.331 0.930
5 Bi 0.225 0.658 0.405
6 Bi 0.225 0.842 0.905
7 Bi 0.406 0.505 0.741
8 Bi 0.406 0.995 0.241
9 Bi 0.594 0.005 0.759
10 Bi 0.594 0.495 0.259
11 Bi 0.775 0.158 0.095
12 Bi 0.775 0.342 0.595
13 Bi 0.900 0.669 0.070
14 Bi 0.900 0.831 0.570
15 Pt 0.198 0.141 0.724
16 Pt 0.198 0.359 0.224
17 Pt 0.500 0.000 0.500
18 Pt 0.500 0.500 0.000
19 Pt 0.802 0.641 0.776
20 Pt 0.802 0.859 0.276

***

No. 7
La2YCd: optimized geometry, PBE.

Output
Density: 5.96 g cm⁻³
DFT formation energy: -0.048 eV/atom

Lattice parameters (Å, degrees): 11.443 11.443 11.443 18.63 18.63 18.63
Positions (direct):
1 La 0.000 0.000 0.000
2 La 0.175 0.175 0.175
3 Y 0.420 0.420 0.420
4 Cd 0.587 0.587 0.587

***

No. 8
K2AcUO6: optimized geometry, PBE.

Output
Density: 5.78 g cm⁻³
Uncorrected formation energy: -2630 meV per atom

Lattice parameters (Å, degrees): 6.380 6.380 6.380 60.00 60.00 60.00
Positions (direct):
1 K 0.250 0.250 0.250
2 K 0.750 0.750 0.750
3 Ac 0.000 0.000 0.000
4 U 0.500 0.500 0.500
5 O 0.271 0.271 0.729
6 O 0.271 0.729 0.271
7 O 0.271 0.729 0.729
8 O 0.729 0.271 0.271
9 O 0.729 0.271 0.729
10 O 0.729 0.729 0.271